[1]
Compound: Dy3Ag3GeO8
Source: the Alexandria database
Functional: PBE-GGA
Structure: relaxed

Structure (POSCAR):
```
Dy3Ag3GeO8
1.0
5.849 -3.378 0.000
5.849 3.378 0.000
-3.912 0.000 5.662
Dy Ag Ge O
3 3 1 8
Direct
0.000 0.000 0.000 Dy
0.000 0.500 0.000 Dy
0.500 0.000 0.000 Dy
0.000 0.500 0.500 Ag
0.500 0.000 0.500 Ag
0.500 0.500 0.500 Ag
0.500 0.500 0.000 Ge
0.228 0.228 0.182 O
0.273 0.706 0.185 O
0.294 0.294 0.815 O
0.294 0.727 0.815 O
0.706 0.273 0.185 O
0.706 0.706 0.185 O
0.727 0.294 0.815 O
0.772 0.772 0.818 O
```

Computed properties:
Total moment, μB/f.u.: 0.0
V, Å³/cell: 223.8
SG: C2/m, No. 12
Uncorrected formation energy, eV/atom: -1.9803



[2]
Compound: BeHgP3
Source: the Alexandria database
Functional: PBE-GGA
Structure: relaxed

Structure (POSCAR):
```
BeHgP3
1.0
4.967 0.000 0.000
0.000 4.967 0.000
0.000 0.000 4.967
Be Hg P
1 1 3
Direct
0.000 0.000 0.000 Be
0.500 0.500 0.500 Hg
0.000 0.500 0.500 P
0.500 0.000 0.500 P
0.500 0.500 0.000 P
```

Computed properties:
Total moment, μB/f.u.: 0.0
V, Å³/cell: 122.6
Density of states at the Fermi level, states/eV per cell: 6.18
Relative energy among the computed polymorphs, kJ/mol of atoms: 108.5
SG: Pm-3m, No. 221
Energy of formation from the pure elements, eV/atom: 1.87



[3]
Compound: Ho2ZnP
Source: the Alexandria database
Functional: PBE-GGA
Structure: relaxed

Structure (POSCAR):
```
Ho2ZnP
1.0
1.959 1.131 7.152
-1.959 1.131 7.152
0.000 -2.262 7.152
Ho Zn P
2 1 1
Direct
0.240 0.240 0.240 Ho
0.760 0.760 0.760 Ho
0.000 0.000 0.000 Zn
0.500 0.500 0.500 P
```

Computed properties:
Total moment, μB/f.u.: 0.0
V, Å³/cell: 95.1
Density of states at the Fermi level, states/eV per cell: 3.43
Relative energy among the computed polymorphs, kJ/mol of atoms: 0.0
SG: R-3m, No. 166
Energy of formation from the pure elements, eV/atom: -0.86



[4]
Compound: InTe2O6
Source: the Alexandria database
Functional: PBE-GGA
Structure: relaxed

Structure (POSCAR):
```
InTe2O6
1.0
4.988 -1.964 0.000
4.988 1.964 0.000
-2.917 0.000 7.422
In Te O
1 2 6
Direct
0.000 0.000 0.000 In
0.196 0.196 0.687 Te
0.804 0.804 0.313 Te
0.036 0.036 0.759 O
0.297 0.297 0.365 O
0.358 0.358 0.910 O
0.642 0.642 0.090 O
0.703 0.703 0.635 O
0.964 0.964 0.241 O
```

Computed properties:
Total moment, μB/f.u.: 0.0
V, Å³/cell: 145.4
Density of states at the Fermi level, states/eV per cell: 1.35
Relative energy among the computed polymorphs, kJ/mol of atoms: 0.0
SG: C2/m, No. 12
Uncorrected formation energy, eV/atom: -1.0301



[5]
Compound: YMgSi2S
Source: the Alexandria database
Functional: PBE-GGA
Structure: relaxed

Structure (POSCAR):
```
YMgSi2S
1.0
4.875 0.000 0.000
0.000 4.875 0.000
0.000 0.000 4.577
Y Mg Si S
1 1 2 1
Direct
0.000 0.000 0.000 Y
0.500 0.500 0.000 Mg
0.000 0.500 0.500 Si
0.500 0.000 0.500 Si
0.500 0.500 0.500 S
```

Computed properties:
Total moment, μB/f.u.: 0.0
V, Å³/cell: 108.8
Density of states at the Fermi level, states/eV per cell: 2.35
SG: P4/mmm, No. 123
Uncorrected formation energy, eV/atom: 0.1182



[6]
Compound: ZnIrOs2F
Source: the Alexandria database
Functional: PBE-GGA
Structure: relaxed

Structure (POSCAR):
```
ZnIrOs2F
1.0
4.810 0.000 0.000
0.000 4.810 0.000
0.000 0.000 3.922
Zn Ir Os F
1 1 2 1
Direct
0.000 0.000 0.000 Zn
0.500 0.500 0.500 Ir
0.000 0.500 0.500 Os
0.500 0.000 0.500 Os
0.500 0.500 0.000 F
```

Computed properties:
Total moment, μB/f.u.: 1.1
V, Å³/cell: 90.7
Density of states at the Fermi level, states/eV per cell: 5.78
SG: P4/mmm, No. 123
Uncorrected formation energy, eV/atom: 1.3909



[7]
Compound: YBi3Te6
Source: the Alexandria database
Functional: PBE-GGA
Structure: relaxed

Structure (POSCAR):
```
YBi3Te6
1.0
13.124 0.000 0.000
0.000 4.379 0.000
-4.461 0.000 12.466
Y Bi Te
2 6 12
Direct
0.192 0.250 0.041 Y
0.808 0.750 0.959 Y
0.035 0.750 0.298 Bi
0.339 0.250 0.439 Bi
0.400 0.750 0.851 Bi
0.600 0.250 0.149 Bi
0.661 0.750 0.561 Bi
0.965 0.250 0.702 Bi
0.031 0.750 0.901 Te
0.118 0.250 0.469 Te
0.234 0.250 0.810 Te
0.236 0.750 0.237 Te
0.389 0.750 0.074 Te
0.427 0.750 0.604 Te
0.573 0.250 0.396 Te
0.611 0.250 0.926 Te
0.764 0.250 0.763 Te
0.766 0.750 0.190 Te
0.882 0.750 0.531 Te
0.969 0.250 0.099 Te
```

Computed properties:
Total moment, μB/f.u.: 0.0
V, Å³/cell: 716.4
SG: P2_1/m, No. 11
Uncorrected formation energy, eV/atom: -0.4964



[8]
Compound: InReMoPt2
Source: the Alexandria database
Functional: PBE-GGA
Structure: relaxed

Structure (POSCAR):
```
InReMoPt2
1.0
4.907 0.000 0.000
0.000 4.907 0.000
0.000 0.000 4.689
In Re Mo Pt
1 1 1 2
Direct
0.000 0.000 0.000 In
0.500 0.500 0.500 Re
0.500 0.500 0.000 Mo
0.000 0.500 0.500 Pt
0.500 0.000 0.500 Pt
```

Computed properties:
Total moment, μB/f.u.: 0.0
V, Å³/cell: 112.9
Density of states at the Fermi level, states/eV per cell: 3.51
SG: P4/mmm, No. 123
Energy of formation from the pure elements, eV/atom: 1.09



Question: What is the formula in the third record?
Answer: Ho2ZnP